1.
The following is a PBE calculation of a relaxed structure of K3Tb3ErSe8, from the Alexandria database.

Unit cell a=8.322 b=8.326 c=9.215 alpha=116.90 beta=90.00 gamma=119.98
Positions (direct):
Se 0.233 0.465 0.702
Se 0.265 0.529 0.294
Tb 0.500 0.500 0.500
Se 0.767 0.031 0.298
K 0.500 0.500 0.000
Tb 0.500 0.000 0.500
Se 0.233 0.969 0.702
Se 0.263 0.031 0.298
Tb 0.000 0.500 0.500
Er 0.000 0.000 0.500
K 0.000 0.500 0.000
Se 0.767 0.535 0.298
Se 0.735 0.471 0.706
K 0.000 0.000 0.000
Se 0.737 0.969 0.702

Space-group type: C2/m



2.
The following is a PBE calculation of a relaxed structure of CaMnHgCl6, from the Alexandria database.

Unit cell a=6.696 b=6.696 c=11.884 alpha=90.00 beta=90.00 gamma=120.00
Each line ends with the local moment (μB).
Positions (direct):
Mn 0.333 0.667 0.750  4.37
Cl 0.975 0.330 0.128  0.03
Hg 0.000 0.000 0.500  0.05
Cl 0.025 0.670 0.872  0.03
Cl 0.645 0.975 0.872  0.03
Cl 0.025 0.355 0.628  0.03
Cl 0.670 0.025 0.372  0.03
Hg 0.000 0.000 0.000  0.05
Cl 0.670 0.645 0.128  0.03
Cl 0.645 0.670 0.628  0.03
Cl 0.975 0.645 0.372  0.03
Cl 0.355 0.330 0.372  0.03
Cl 0.330 0.975 0.628  0.03
Cl 0.330 0.355 0.872  0.03
Ca 0.333 0.667 0.250  0.00
Ca 0.667 0.333 0.750  0.00
Mn 0.667 0.333 0.250  4.37
Cl 0.355 0.025 0.128  0.03

Space-group type: P-31c



Record-wise formation energy (no corrections) values, in eV per atom: -1.68 -1.31